No. 1
Density functional theory data (GGA-PBE) for a relaxed Ho5Hf crystal.

Calculated values
* calculated volume: 29.1 A^3/atom
* total magnetization: 0.000 μB/cell
* ΔE_f: 0.089 eV per atom

a b c (Å): 7.7139 7.7139 4.8972
angles (deg): 90.00 90.00 143.26
Last column: nearest neighbours and their distance in Å.
Atoms (fractional coordinates):
Ho 0.0000 0.0000 0.0000  8 Ho 3.38, 4 Hf 3.45
Ho 0.1596 0.8404 0.5000  2 Hf 3.37, 10 Ho 3.38-3.60
Ho 0.3394 0.6606 0.0000  10 Ho 3.38-3.60, 2 Hf 3.39
Ho 0.6606 0.3394 0.0000  10 Ho 3.38-3.60, 2 Hf 3.39
Ho 0.8404 0.1596 0.5000  2 Hf 3.37, 10 Ho 3.38-3.60
Hf 0.5000 0.5000 0.5000  12 Ho 3.37-3.45

***

No. 2
Density functional theory data (GGA-PBE) for a relaxed HoHf2In crystal.

Calculated values
* calculated volume: 24.7 A^3/atom
* total magnetization: 0.000 μB/cell
* ΔE_f: 0.289 eV per atom
* energy above the lowest structure with this stoichiometry: 381 meV per atom

a b c (Å): 11.6999 11.6999 11.6999
angles (deg): 15.43 15.43 15.43
Last column: nearest neighbours and their distance in Å.
Atoms (fractional coordinates):
Ho 0.0000 0.0000 0.0000  6 Ho 3.14, 2 Hf 3.19
Hf 0.0919 0.0919 0.0919  6 Hf 3.14, 3 In 3.16, 1 Ho 3.19
Hf 0.9081 0.9081 0.9081  6 Hf 3.14, 3 In 3.16, 1 Ho 3.19
In 0.5000 0.5000 0.5000  6 In 3.14, 6 Hf 3.16

***

No. 3
Density functional theory data (GGA-PBE) for a relaxed HoHfIn6 crystal.

Calculated values
* calculated volume: 23.8 A^3/atom
* total magnetization: 0.000 μB/cell
* ΔE_f: -0.221 eV per atom

a b c (Å): 4.5719 4.5719 9.0938
angles (deg): 90.00 90.00 90.00
Last column: nearest neighbours and their distance in Å.
Atoms (fractional coordinates):
Ho 0.0000 0.0000 0.0000  12 In 3.23-3.27
Hf 0.0000 0.0000 0.5000  12 In 3.18-3.23
In 0.0000 0.5000 0.2576  8 In 3.18-3.27, 2 Hf 3.18, 2 Ho 3.27
In 0.0000 0.5000 0.7425  2 Hf 3.18, 8 In 3.18-3.27, 2 Ho 3.27
In 0.5000 0.0000 0.2576  8 In 3.18-3.27, 2 Hf 3.18, 2 Ho 3.27
In 0.5000 0.0000 0.7425  2 Hf 3.18, 8 In 3.18-3.27, 2 Ho 3.27
In 0.5000 0.5000 0.0000  4 Ho 3.23, 8 In 3.27
In 0.5000 0.5000 0.5000  8 In 3.18, 4 Hf 3.23

***

No. 4
Density functional theory data (GGA-PBE) for a relaxed Ho2HfIn crystal.

Calculated values
* calculated volume: 26.8 A^3/atom
* total magnetization: 0.000 μB/cell
* ΔE_f: -0.080 eV per atom
* energy above the lowest structure with this stoichiometry: 82 meV per atom

a b c (Å): 10.8102 10.8102 10.8102
angles (deg): 18.16 18.16 18.16
Last column: nearest neighbours and their distance in Å.
Atoms (fractional coordinates):
Ho 0.2489 0.2489 0.2489  3 Hf 3.28, 3 In 3.34, 6 Ho 3.41
Ho 0.7511 0.7511 0.7511  3 Hf 3.28, 3 In 3.34, 6 Ho 3.41
Hf 0.5000 0.5000 0.5000  6 Ho 3.28, 6 Hf 3.41
In 0.0000 0.0000 0.0000  6 Ho 3.34, 6 In 3.41